Density functional theory data (PBE) for a relaxed Ca2Ac2La15 crystal.

Lattice parameters (Å, degrees): 9.1509 9.1509 9.1509 81.53 81.53 81.53
Fractional coordinates of all 19 atoms:
Ca 0.9010 0.9010 0.9010
Ca 0.0990 0.0990 0.0990
Ac 0.6678 0.6678 0.6678
Ac 0.3322 0.3322 0.3322
La 0.0000 0.5000 0.0000
La 0.0000 0.0000 0.5000
La 0.5000 0.0000 0.0000
La 0.3053 0.0000 0.6947
La 0.6947 0.3053 0.0000
La 0.0000 0.6947 0.3053
La 0.3053 0.6947 0.0000
La 0.0000 0.3053 0.6947
La 0.6947 0.0000 0.3053
La 0.3630 0.8353 0.3630
La 0.3630 0.3630 0.8353
La 0.8353 0.3630 0.3630
La 0.6370 0.1647 0.6370
La 0.6370 0.6370 0.1647
La 0.1647 0.6370 0.6370

Calculated values
The value obtained for the formation enthalpy at 0 K is 0.163 eV/atom. The total moment comes out at 0.000 μB per formula unit. The calculated density comes out at 5.85 Mg/m³.